(1)
Computed, not measured: a relaxed structure of Mn3InH3 at the PBE level of DFT.

Cell lengths 5.1176, 5.1176, 5.1176 Å; angles 90.00, 90.00, 90.00 degrees
Space group Pm-3n (No. 223)
Symmetry-distinct sites (fractional):
Mn (0.0000, 0.2500, 0.5000)
In (0.0000, 0.0000, 0.0000)
H (0.0000, 0.5000, 0.2500)

Summary:
Raw total energy (eV/f.u.): -40.06
Mass density (g/cm3): 7.0

(2)
Computed, not measured: a relaxed structure of MnIn3H at the PBE level of DFT.

Cell lengths 4.3963, 4.3963, 4.3963 Å; angles 90.00, 90.00, 90.00 degrees
Space group Pm-3m (No. 221)
Symmetry-distinct sites (fractional):
Mn (0.0000, 0.0000, 0.0000)
In (0.0000, 0.5000, 0.5000)
H (0.5000, 0.5000, 0.5000)

Summary:
Raw total energy (eV/f.u.): -17.08
Mass density (g/cm3): 7.8
Energy relative to the lowest polymorph listed for this composition (eV per formula unit): 0.42

(3)
Computed, not measured: a relaxed structure of Mn5In3H12 at the PBE level of DFT.

Cell lengths 11.2858, 11.2858, 11.2858 Å; angles 90.00, 90.00, 90.00 degrees
Space group Ia-3d (No. 230)
Symmetry-distinct sites (fractional):
Mn (0.0000, 0.0000, 0.0000)
Mn (0.0000, 0.2500, 0.3750)
In (0.0000, 0.2500, 0.1250)
H (0.0555, 0.1170, 0.9289)

Summary:
Raw total energy (eV/f.u.): -89.02
Mass density (g/cm3): 5.8

(4)
Computed, not measured: a relaxed structure of Mn2InH at the PBE level of DFT.

Cell lengths 5.3541, 5.3541, 7.5587 Å; angles 90.00, 90.00, 90.00 degrees
Space group I4_1/amd (No. 141, origin choice 2)
Symmetry-distinct sites (fractional):
Mn (0.0000, 0.0000, 0.0000)
In (0.0000, 0.2500, 0.3750)
H (0.0000, 0.2500, 0.8750)

Summary:
Raw total energy (eV/f.u.): -23.49
Mass density (g/cm3): 6.9
Energy relative to the lowest polymorph listed for this composition (eV per formula unit): 0.00